No. 1
Compound: Co3AgSb
Source: the Alexandria database
Functional: PBE
Structure: optimized geometry

Calculated values
Formation energy without anion corrections = 1.456 eV per atom
SG = Pm-3m
E = -4.2026 eV per atom
Mass density = 6.8 Mg/m³

Unit cell a=4.639 b=4.639 c=4.639 alpha=90.00 beta=90.00 gamma=90.00
Positions (direct):
Co  0.000  0.000  0.500
Co  0.000  0.500  0.000
Co  0.500  0.000  0.000
Ag  0.000  0.000  0.000
Sb  0.500  0.500  0.500

---

No. 2
Compound: Pa2AlPt2
Source: the Alexandria database
Functional: PBE
Structure: optimized geometry

Calculated values
SG = P4/mbm
E = -7.8693 eV per atom
Mass density = 13.5 Mg/m³

Unit cell a=7.595 b=7.595 c=3.743 alpha=90.00 beta=90.00 gamma=90.00
Positions (direct):
Pa  0.176  0.324  0.000
Pa  0.324  0.824  0.000
Pa  0.676  0.176  0.000
Pa  0.824  0.676  0.000
Al  0.000  0.000  0.500
Al  0.500  0.500  0.500
Pt  0.133  0.633  0.500
Pt  0.367  0.133  0.500
Pt  0.633  0.867  0.500
Pt  0.867  0.367  0.500

---

No. 3
Compound: PmCd8Hg2
Source: the Alexandria database
Functional: PBE
Structure: optimized geometry

Calculated values
SG = C2/m
E = -1.1753 eV per atom
Mass density = 8.6 Mg/m³

Unit cell a=8.569 b=8.569 c=5.076 alpha=102.19 beta=102.19 gamma=123.65
Positions (direct):
Pm  0.000  0.000  0.000
Cd  0.087  0.326  0.665
Cd  0.215  0.785  0.000
Cd  0.326  0.087  0.665
Cd  0.424  0.424  0.197
Cd  0.576  0.576  0.803
Cd  0.674  0.913  0.335
Cd  0.785  0.215  0.000
Cd  0.913  0.674  0.335
Hg  0.316  0.684  0.500
Hg  0.684  0.316  0.500

---

What did the third record say?
Compound: PmCd8Hg2
Source: the Alexandria database
Functional: PBE
Structure: optimized geometry

Calculated values
SG = C2/m
E = -1.1753 eV per atom
Mass density = 8.6 Mg/m³

Unit cell a=8.569 b=8.569 c=5.076 alpha=102.19 beta=102.19 gamma=123.65
Positions (direct):
Pm  0.000  0.000  0.000
Cd  0.087  0.326  0.665
Cd  0.215  0.785  0.000
Cd  0.326  0.087  0.665
Cd  0.424  0.424  0.197
Cd  0.576  0.576  0.803
Cd  0.674  0.913  0.335
Cd  0.785  0.215  0.000
Cd  0.913  0.674  0.335
Hg  0.316  0.684  0.500
Hg  0.684  0.316  0.500

---

Among the records above, which one has the highest E?
PmCd8Hg2

---

E of number 3 (PmCd8Hg2)?
-1.1753 eV per atom